Record 1
Compound: K2PtF
Source: the Alexandria database
Functional: PBE
Structure: relaxed

Cell: 5.375 5.375 5.375 Å, 60.00 60.00 60.00°
Site moments in Bohr magnetons follow the coordinates.
Fractional coordinates of all 4 atoms:
1 K 0.250 0.250 0.250  0.00
2 K 0.750 0.750 0.750  0.00
3 F 0.000 0.000 0.000  0.07
4 Pt 0.500 0.500 0.500  0.83

Computed properties:
The space-group type is Fm-3m. For the formation energy (no corrections), the calculation gives -0.607 eV/atom.

Record 2
Compound: KPt3F
Source: the Alexandria database
Functional: PBE
Structure: relaxed

Cell: 4.599 4.599 4.599 Å, 90.00 90.00 90.00°
Site moments in Bohr magnetons follow the coordinates.
Fractional coordinates of all 5 atoms:
1 Pt 0.500 0.000 0.000  0.47
2 Pt 0.000 0.000 0.500  0.43
3 Pt 0.000 0.500 0.000  0.65
4 F 0.000 0.000 0.000  0.07
5 K 0.500 0.500 0.500  -0.01

Computed properties:
The space-group type is Pm-3m. For the formation energy (no corrections), the calculation gives 0.654 eV/atom.

Record 3
Compound: KPtF
Source: the Alexandria database
Functional: PBE
Structure: relaxed

Cell: 3.664 3.664 9.890 Å, 90.00 90.00 90.00°
Fractional coordinates of all 6 atoms:
1 F 0.500 0.500 0.500
2 F 0.000 0.000 0.500
3 Pt 0.000 0.500 0.973
4 Pt 0.500 0.000 0.027
5 K 0.500 0.000 0.665
6 K 0.000 0.500 0.335

Computed properties:
The space-group type is P4/nmm. For the formation energy (no corrections), the calculation gives -1.056 eV/atom.

Record 4
Compound: KPtF
Source: the Alexandria database
Functional: PBE
Structure: relaxed

Cell: 4.504 4.504 4.504 Å, 60.00 60.00 60.00°
Site moments in Bohr magnetons follow the coordinates.
Fractional coordinates of all 3 atoms:
1 Pt 0.750 0.750 0.750  0.28
2 K 0.250 0.250 0.250  0.00
3 F 0.000 0.000 0.000  0.03

Computed properties:
The space-group type is F-43m. For the formation energy (no corrections), the calculation gives -0.159 eV/atom.

Record 5
Compound: KPt3F
Source: the Alexandria database
Functional: PBE
Structure: relaxed

Cell: 5.158 5.158 5.158 Å, 90.00 90.00 90.00°
Site moments in Bohr magnetons follow the coordinates.
Fractional coordinates of all 5 atoms:
1 Pt 0.000 0.500 0.000  0.48
2 Pt 0.500 0.000 0.000  0.34
3 Pt 0.000 0.000 0.500  0.51
4 K 0.000 0.000 0.000  -0.01
5 F 0.500 0.500 0.500  0.23

Computed properties:
The space-group type is Pm-3m. For the formation energy (no corrections), the calculation gives 2.148 eV/atom.

Record 6
Compound: KPtF
Source: the Alexandria database
Functional: PBE
Structure: relaxed

Cell: 10.196 3.294 3.652 Å, 90.00 90.00 81.88°
Fractional coordinates of all 6 atoms:
1 K 0.856 0.490 0.617
2 K 0.535 0.628 0.117
3 F 0.758 0.033 0.117
4 F 0.454 0.162 0.617
5 Pt 0.142 0.860 0.118
6 Pt 0.219 0.329 0.617

Computed properties:
The space-group type is Pm. For the formation energy (no corrections), the calculation gives -1.405 eV/atom.

Calculated magnetization, 0.250; 0.319; 0.000; 0.100; 0.331; 0.000 μB/atom (same order as the records).